## KBeBr2 (GGA-PBE)

Data for a geometry-optimized KBeBr2 structure.

Unit cell a=3.6327 b=4.2582 c=13.9197 alpha=90.00 beta=90.00 gamma=90.00
Closest atoms and distances in Å follow each position.
Space group Imm2 (No. 44)
Asymmetric unit:
K (0.0000, 0.0000, 0.0000) x2  6 Br 3.23-3.35
Be (0.0000, 0.5000, 0.7309) x2  6 Br 2.64-2.91
Br (0.0000, 0.0000, 0.3683) x2  2 Be 2.64
Br (0.0000, 0.5000, 0.1742) x2  4 Be 2.91, 2 K 3.23

## Properties
energy relative to the lowest polymorph listed for this composition	250	meV/atom
DOS at the Fermi energy	2.0	states/eV per cell
formation energy from raw total energies	-433	meV/atom